# 1
This record from Alexandria via LeMat-Bulk describes a geometry-optimized Ho7Co2Rh2 structure. The functional is GGA-PBE.

Unit cell a=6.441 b=6.441 c=6.622 alpha=90.00 beta=90.00 gamma=107.56
Fractional coordinates of all 11 atoms:
Ho 0.000 0.000 0.000
Ho 0.000 0.500 0.262
Ho 0.000 0.500 0.738
Ho 0.500 0.000 0.262
Ho 0.500 0.000 0.738
Ho 0.500 0.500 0.253
Ho 0.500 0.500 0.747
Co 0.286 0.714 0.000
Co 0.714 0.286 0.000
Rh 0.188 0.188 0.500
Rh 0.812 0.812 0.500

DOS(E_F) ... 6.8 states/eV/f.u.
Mass density ... 9.4 g cm⁻³
Raw total energy ... -63.879 eV for the cell shown
Total magnetization ... 0.000 μB per cell
Crystal system ... orthorhombic
Symmetry ... Cmmm

---

# 2
This record from Alexandria via LeMat-Bulk describes a geometry-optimized Ho5CoRh4 structure. The functional is GGA-PBE.

Unit cell a=3.382 b=3.382 c=17.103 alpha=90.00 beta=90.00 gamma=90.00
Fractional coordinates of all 10 atoms:
Ho 0.000 0.000 0.000
Ho 0.000 0.000 0.202
Ho 0.000 0.000 0.404
Ho 0.000 0.000 0.596
Ho 0.000 0.000 0.798
Co 0.500 0.500 0.500
Rh 0.500 0.500 0.101
Rh 0.500 0.500 0.302
Rh 0.500 0.500 0.698
Rh 0.500 0.500 0.899

DOS(E_F) ... 5.2 states/eV/f.u.
Mass density ... 11.0 g cm⁻³
Raw total energy ... -66.934 eV for the cell shown
Total magnetization ... 0.624 μB per cell
Crystal system ... tetragonal
Symmetry ... P4/mmm

---

# 3
This record from Alexandria via LeMat-Bulk describes a geometry-optimized Ho4CoRh3 structure. The functional is GGA-PBE.

Unit cell a=3.371 b=4.812 c=9.611 alpha=90.00 beta=90.00 gamma=90.00
Fractional coordinates of all 8 atoms:
Ho 0.000 0.000 0.000
Ho 0.000 0.000 0.500
Ho 0.000 0.500 0.245
Ho 0.000 0.500 0.755
Co 0.500 0.500 0.000
Rh 0.500 0.000 0.250
Rh 0.500 0.000 0.750
Rh 0.500 0.500 0.500

DOS(E_F) ... 3.6 states/eV/f.u.
Mass density ... 10.9 g cm⁻³
Raw total energy ... -53.206 eV for the cell shown
Total magnetization ... 0.629 μB per cell
Crystal system ... orthorhombic
Symmetry ... Pmmm

---

# 4
This record from Alexandria via LeMat-Bulk describes a geometry-optimized HoCoRh structure. The functional is GGA-PBE.

Unit cell a=6.714 b=6.714 c=5.604 alpha=90.00 beta=90.00 gamma=90.00
Fractional coordinates of all 12 atoms:
Ho 0.240 0.240 0.000
Ho 0.260 0.740 0.250
Ho 0.740 0.260 0.750
Ho 0.760 0.760 0.500
Co 0.140 0.860 0.750
Co 0.360 0.360 0.500
Co 0.640 0.640 0.000
Co 0.860 0.140 0.250
Rh 0.123 0.123 0.500
Rh 0.377 0.623 0.750
Rh 0.623 0.377 0.250
Rh 0.877 0.877 0.000

DOS(E_F) ... 2.2 states/eV/f.u.
Mass density ... 8.6 g cm⁻³
Raw total energy ... -76.524 eV for the cell shown
Total magnetization ... 0.000 μB per cell
Crystal system ... tetragonal
Symmetry ... P4_12_12

---

# 5
This record from Alexandria via LeMat-Bulk describes a geometry-optimized Ho12Co6Rh structure. The functional is GGA-PBE.

Unit cell a=8.202 b=8.202 c=8.202 alpha=109.47 beta=109.47 gamma=109.47
Fractional coordinates of all 19 atoms:
Ho 0.105 0.807 0.297
Ho 0.193 0.297 0.490
Ho 0.193 0.703 0.895
Ho 0.297 0.105 0.807
Ho 0.297 0.490 0.193
Ho 0.490 0.193 0.297
Ho 0.510 0.807 0.703
Ho 0.703 0.510 0.807
Ho 0.703 0.895 0.193
Ho 0.807 0.297 0.105
Ho 0.807 0.703 0.510
Ho 0.895 0.193 0.703
Co 0.115 0.615 0.500
Co 0.385 0.500 0.885
Co 0.500 0.115 0.615
Co 0.500 0.885 0.385
Co 0.615 0.500 0.115
Co 0.885 0.385 0.500
Rh 0.000 0.000 0.000

DOS(E_F) ... 11.6 states/eV/f.u.
Mass density ... 9.5 g cm⁻³
Raw total energy ... -109.633 eV for the cell shown
Total magnetization ... 0.000 μB per cell
Crystal system ... cubic
Symmetry ... Im-3

---

# 6
This record from Alexandria via LeMat-Bulk describes a geometry-optimized Ho5Co2Rh structure. The functional is GGA-PBE.

Unit cell a=8.667 b=8.667 c=8.667 alpha=131.74 beta=131.74 gamma=70.64
Fractional coordinates of all 16 atoms:
Ho 0.000 0.000 0.000
Ho 0.036 0.536 0.854
Ho 0.182 0.036 0.500
Ho 0.318 0.818 0.854
Ho 0.464 0.318 0.500
Ho 0.500 0.500 0.000
Ho 0.536 0.682 0.500
Ho 0.682 0.182 0.146
Ho 0.818 0.964 0.500
Ho 0.964 0.464 0.146
Co 0.113 0.387 0.500
Co 0.387 0.887 0.274
Co 0.613 0.113 0.726
Co 0.887 0.613 0.500
Rh 0.250 0.250 0.000
Rh 0.750 0.750 0.000

DOS(E_F) ... 6.4 states/eV/f.u.
Mass density ... 9.8 g cm⁻³
Raw total energy ... -95.328 eV for the cell shown
Total magnetization ... 0.000 μB per cell
Crystal system ... tetragonal
Symmetry ... I4/mcm

---

# 7
This record from Alexandria via LeMat-Bulk describes a geometry-optimized HoCo4Rh structure. The functional is GGA-PBE.

Unit cell a=4.891 b=4.891 c=4.891 alpha=60.00 beta=60.00 gamma=60.00
Fractional coordinates of all 6 atoms:
Ho 0.000 0.000 0.000
Co 0.126 0.625 0.625
Co 0.625 0.126 0.625
Co 0.625 0.625 0.126
Co 0.625 0.625 0.625
Rh 0.250 0.250 0.250

DOS(E_F) ... 6.6 states/eV/f.u.
Mass density ... 10.1 g cm⁻³
Raw total energy ... -41.213 eV for the cell shown
Total magnetization ... 6.913 μB per cell
Crystal system ... cubic
Symmetry ... F-43m

---

# 8
This record from Alexandria via LeMat-Bulk describes a geometry-optimized HoScCoRh structure. The functional is GGA-PBE.

Unit cell a=4.636 b=4.636 c=4.636 alpha=60.00 beta=60.00 gamma=60.00
Fractional coordinates of all 4 atoms:
Ho 0.000 0.000 0.000
Sc 0.500 0.500 0.500
Co 0.750 0.750 0.750
Rh 0.250 0.250 0.250

DOS(E_F) ... 2.7 states/eV/f.u.
Mass density ... 8.8 g cm⁻³
Raw total energy ... -27.647 eV for the cell shown
Total magnetization ... 0.252 μB per cell
Crystal system ... cubic
Symmetry ... F-43m

---

# 9
This record from Alexandria via LeMat-Bulk describes a geometry-optimized HoCoSi2Rh structure. The functional is GGA-PBE.

Unit cell a=5.684 b=5.684 c=5.684 alpha=139.19 beta=139.19 gamma=59.08
Fractional coordinates of all 5 atoms:
Ho 0.000 0.000 0.000
Co 0.750 0.250 0.500
Si 0.376 0.376 0.000
Si 0.624 0.624 0.000
Rh 0.250 0.750 0.500

Energy relative to the elements, uncorrected ... -957 meV per atom
DOS(E_F) ... 2.5 states/eV/f.u.
Mass density ... 8.2 g cm⁻³
Raw total energy ... -34.665 eV for the cell shown
Total magnetization ... 0.000 μB per cell
Crystal system ... tetragonal
Symmetry ... I-4m2

---

# 10
This record from Alexandria via LeMat-Bulk describes a geometry-optimized SmHoCoRh structure. The functional is GGA-PBE.

Unit cell a=4.837 b=4.837 c=4.837 alpha=60.00 beta=60.00 gamma=60.00
Fractional coordinates of all 4 atoms:
Sm 0.000 0.000 0.000
Ho 0.500 0.500 0.500
Co 0.750 0.750 0.750
Rh 0.250 0.250 0.250

DOS(E_F) ... 1.4 states/eV/f.u.
Mass density ... 9.9 g cm⁻³
Raw total energy ... -25.492 eV for the cell shown
Total magnetization ... 0.611 μB per cell
Crystal system ... cubic
Symmetry ... F-43m

---

# 11
This record from Alexandria via LeMat-Bulk describes a geometry-optimized HoCoSnRh structure. The functional is GGA-PBE.

Unit cell a=4.625 b=4.625 c=4.625 alpha=60.00 beta=60.00 gamma=60.00
Fractional coordinates of all 4 atoms:
Ho 0.000 0.000 0.000
Co 0.250 0.250 0.250
Sn 0.500 0.500 0.500
Rh 0.750 0.750 0.750

DOS(E_F) ... 1.6 states/eV/f.u.
Mass density ... 10.6 g cm⁻³
Raw total energy ... -25.172 eV for the cell shown
Total magnetization ... 1.028 μB per cell
Crystal system ... cubic
Symmetry ... F-43m

---

# 12
This record from Alexandria via LeMat-Bulk describes a geometry-optimized TbHoCoRh structure. The functional is GGA-PBE.

Unit cell a=4.791 b=4.791 c=4.791 alpha=60.00 beta=60.00 gamma=60.00
Fractional coordinates of all 4 atoms:
Tb 0.000 0.000 0.000
Ho 0.500 0.500 0.500
Co 0.250 0.250 0.250
Rh 0.750 0.750 0.750

DOS(E_F) ... 1.7 states/eV/f.u.
Mass density ... 10.4 g cm⁻³
Raw total energy ... -25.649 eV for the cell shown
Total magnetization ... 0.569 μB per cell
Crystal system ... cubic
Symmetry ... F-43m

---

# 13
This record from Alexandria via LeMat-Bulk describes a geometry-optimized Ho3Co7Ru2 structure. The functional is GGA-PBE.

Unit cell a=8.732 b=8.732 c=8.732 alpha=33.28 beta=33.28 gamma=33.28
Fractional coordinates of all 12 atoms:
Ho 0.000 0.000 0.000
Ho 0.139 0.139 0.139
Ho 0.861 0.861 0.861
Co 0.083 0.585 0.585
Co 0.415 0.415 0.917
Co 0.415 0.917 0.415
Co 0.500 0.500 0.500
Co 0.585 0.083 0.585
Co 0.585 0.585 0.083
Co 0.917 0.415 0.415
Ru 0.334 0.334 0.334
Ru 0.666 0.666 0.666

DOS(E_F) ... 16.7 states/eV/f.u.
Mass density ... 10.3 g cm⁻³
Raw total energy ... -83.913 eV for the cell shown
Total magnetization ... 7.044 μB per cell
Crystal system ... trigonal
Symmetry ... R-3m

---

# 14
This record from Alexandria via LeMat-Bulk describes a geometry-optimized HoCo4Ru structure. The functional is GGA-PBE.

Unit cell a=4.886 b=4.886 c=4.886 alpha=60.00 beta=60.00 gamma=60.00
Fractional coordinates of all 6 atoms:
Ho 0.000 0.000 0.000
Co 0.125 0.625 0.625
Co 0.625 0.125 0.625
Co 0.625 0.625 0.125
Co 0.625 0.625 0.625
Ru 0.250 0.250 0.250

DOS(E_F) ... 5.7 states/eV/f.u.
Mass density ... 10.1 g cm⁻³
Raw total energy ... -42.495 eV for the cell shown
Total magnetization ... 7.368 μB per cell
Crystal system ... cubic
Symmetry ... F-43m

---

# 15
This record from Alexandria via LeMat-Bulk describes a geometry-optimized Ho6Co2Ru structure. The functional is GGA-PBE.

Unit cell a=6.472 b=7.004 c=11.347 alpha=90.00 beta=122.27 gamma=90.00
Fractional coordinates of all 18 atoms:
Ho 0.073 0.037 0.241
Ho 0.073 0.463 0.741
Ho 0.228 0.665 0.080
Ho 0.228 0.835 0.580
Ho 0.396 0.166 0.077
Ho 0.396 0.334 0.577
Ho 0.604 0.666 0.423
Ho 0.604 0.834 0.923
Ho 0.772 0.165 0.420
Ho 0.772 0.335 0.920
Ho 0.927 0.537 0.259
Ho 0.927 0.963 0.759
Co 0.333 0.148 0.801
Co 0.333 0.352 0.301
Co 0.667 0.648 0.699
Co 0.667 0.852 0.199
Ru 0.500 0.000 0.500
Ru 0.500 0.500 0.000

DOS(E_F) ... 6.2 states/eV/f.u.
Distance to the lowest polymorph of the same formula ... 54 meV per atom
Mass density ... 9.2 g cm⁻³
Raw total energy ... -105.202 eV for the cell shown
Total magnetization ... 0.000 μB per cell
Crystal system ... monoclinic
Symmetry ... P2_1/c

---

# 16
This record from Alexandria via LeMat-Bulk describes a geometry-optimized Ho8CoRu2 structure. The functional is GGA-PBE.

Unit cell a=7.467 b=7.467 c=5.927 alpha=101.28 beta=101.28 gamma=113.21
Fractional coordinates of all 11 atoms:
Ho 0.000 0.000 0.000
Ho 0.025 0.282 0.584
Ho 0.151 0.562 0.197
Ho 0.282 0.025 0.584
Ho 0.444 0.705 0.788
Ho 0.562 0.151 0.197
Ho 0.705 0.444 0.788
Ho 0.712 0.712 0.380
Co 0.350 0.350 0.357
Ru 0.051 0.672 0.676
Ru 0.672 0.051 0.676

DOS(E_F) ... 10.3 states/eV/f.u.
Distance to the lowest polymorph of the same formula ... 49 meV per atom
Mass density ... 9.2 g cm⁻³
Raw total energy ... -64.151 eV for the cell shown
Total magnetization ... 0.000 μB per cell
Crystal system ... monoclinic
Symmetry ... Cm

---

# 17
This record from Alexandria via LeMat-Bulk describes a geometry-optimized Ho4CoRu3 structure. The functional is GGA-PBE.

Unit cell a=3.382 b=3.382 c=13.390 alpha=90.00 beta=90.00 gamma=90.00
Fractional coordinates of all 8 atoms:
Ho 0.000 0.000 0.123
Ho 0.000 0.000 0.374
Ho 0.000 0.000 0.626
Ho 0.000 0.000 0.877
Co 0.500 0.500 0.000
Ru 0.500 0.500 0.245
Ru 0.500 0.500 0.500
Ru 0.500 0.500 0.755

DOS(E_F) ... 7.8 states/eV/f.u.
Mass density ... 11.1 g cm⁻³
Raw total energy ... -55.782 eV for the cell shown
Total magnetization ... 0.538 μB per cell
Crystal system ... tetragonal
Symmetry ... P4/mmm

---

# 18
This record from Alexandria via LeMat-Bulk describes a geometry-optimized Ho2CoRu structure. The functional is GGA-PBE.

Unit cell a=9.290 b=9.290 c=9.290 alpha=20.30 beta=20.30 gamma=20.30
Fractional coordinates of all 4 atoms:
Ho 0.091 0.091 0.091
Ho 0.909 0.909 0.909
Co 0.000 0.000 0.000
Ru 0.500 0.500 0.500

DOS(E_F) ... 3.9 states/eV/f.u.
Mass density ... 9.6 g cm⁻³
Raw total energy ... -23.838 eV for the cell shown
Total magnetization ... 0.810 μB per cell
Crystal system ... trigonal
Symmetry ... R-3m

---

# 19
This record from Alexandria via LeMat-Bulk describes a geometry-optimized Ho2CoRu structure. The functional is GGA-PBE.

Unit cell a=4.744 b=4.744 c=4.744 alpha=60.00 beta=60.00 gamma=60.00
Fractional coordinates of all 4 atoms:
Ho 0.250 0.250 0.250
Ho 0.750 0.750 0.750
Co 0.000 0.000 0.000
Ru 0.500 0.500 0.500

DOS(E_F) ... 3.1 states/eV/f.u.
Mass density ... 10.8 g cm⁻³
Raw total energy ... -26.643 eV for the cell shown
Total magnetization ... 0.000 μB per cell
Crystal system ... cubic
Symmetry ... Fm-3m

---

# 20
This record from Alexandria via LeMat-Bulk describes a geometry-optimized Ho4Co3Ru structure. The functional is GGA-PBE.

Unit cell a=3.926 b=4.063 c=10.193 alpha=90.00 beta=90.00 gamma=90.00
Fractional coordinates of all 8 atoms:
Ho 0.000 0.000 0.000
Ho 0.000 0.500 0.495
Ho 0.500 0.000 0.707
Ho 0.500 0.500 0.208
Co 0.000 0.000 0.297
Co 0.500 0.000 0.404
Co 0.500 0.500 0.922
Ru 0.000 0.500 0.792

DOS(E_F) ... 8.0 states/eV/f.u.
Mass density ... 9.6 g cm⁻³
Raw total energy ... -50.846 eV for the cell shown
Total magnetization ... 1.358 μB per cell
Crystal system ... orthorhombic
Symmetry ... Pmm2